This record from the Alexandria database describes TlInSCl2 after structural relaxation. The functional is PBE-GGA.

Cell lengths 5.427, 5.427, 5.155 Å; angles 90.00, 90.00, 90.00 degrees
Positions (direct):
1 Cl 0.500 0.000 0.000
2 Cl 0.000 0.500 0.000
3 In 0.500 0.500 0.500
4 Tl 0.000 0.000 0.000
5 S 0.000 0.000 0.500

Output
- Symmetry: P4/mmm, No. 123

***

This record from the Alexandria database describes VInSCl2 after structural relaxation. The functional is PBE-GGA.

Cell lengths 5.016, 5.016, 4.605 Å; angles 90.00, 90.00, 90.00 degrees
Positions (direct):
1 Cl 0.500 0.000 0.000
2 Cl 0.000 0.500 0.000
3 V 0.000 0.000 0.000
4 In 0.500 0.500 0.500
5 S 0.000 0.000 0.500

Output
- Symmetry: P4/mmm, No. 123

***

This record from the Alexandria database describes VInSCl2 after structural relaxation. The functional is PBE-GGA.

Cell lengths 4.946, 4.946, 5.292 Å; angles 90.00, 90.00, 90.00 degrees
Positions (direct):
1 In 0.000 0.000 0.000
2 Cl 0.500 0.000 0.000
3 Cl 0.000 0.500 0.000
4 V 0.500 0.500 0.500
5 S 0.000 0.000 0.500

Output
- Symmetry: P4/mmm, No. 123

***

no.,formation energy without anion corrections (meV per atom)
1,-344
2,-757
3,91